(1)
# TaTiHRh2 PBE optimized geometry
# space-group type = P4/mmm
# energy above the most stable polymorph in this dataset = 0 meV/atom
# calculated total energy = -8.003 eV/atom
# density = 11.39 g cm⁻³
data_TaTiHRh2
_chemical_formula_sum 'Ta1 Ti1 H1 Rh2'
_cell_length_a 3.9925
_cell_length_b 3.9925
_cell_length_c 3.9837
_cell_angle_alpha 90.00
_cell_angle_beta 90.00
_cell_angle_gamma 90.00
_space_group_name_H-M_alt 'P 1'
_space_group_IT_number 1
loop_
_space_group_symop_operation_xyz
'x,y,z'
loop_
_atom_site_label
_atom_site_type_symbol
_atom_site_fract_x
_atom_site_fract_y
_atom_site_fract_z
Ta1 Ta 0.0000 0.0000 0.0000
Ti1 Ti 0.5000 0.5000 0.0000
H1 H 0.5000 0.5000 0.5000
Rh1 Rh 0.0000 0.5000 0.5000
Rh2 Rh 0.5000 0.0000 0.5000



(2)
# CdPRu2 PBE optimized geometry
# space-group type = Imm2
# energy above the most stable polymorph in this dataset = 6 meV/atom
# calculated total energy = -6.341 eV/atom
# density = 8.87 g cm⁻³
# E_form = -0.12 eV per atom
data_CdPRu2
_chemical_formula_sum 'Cd1 P1 Ru2'
_cell_length_a 7.4389
_cell_length_b 7.4389
_cell_length_c 7.4389
_cell_angle_alpha 157.32
_cell_angle_beta 155.92
_cell_angle_gamma 33.31
_space_group_name_H-M_alt 'P 1'
_space_group_IT_number 1
loop_
_space_group_symop_operation_xyz
'x,y,z'
loop_
_atom_site_label
_atom_site_type_symbol
_atom_site_fract_x
_atom_site_fract_y
_atom_site_fract_z
Cd1 Cd 0.0000 0.0000 0.0000
P1 P 0.7436 0.2436 0.5000
Ru1 Ru 0.1742 0.6742 0.5000
Ru2 Ru 0.3595 0.3595 0.0000



(3)
# Li4SbPd5 PBE optimized geometry
# space-group type = I4
# calculated total energy = -4.087 eV/atom
# density = 7.25 g cm⁻³
# raw formation energy = -0.3130 eV/atom
data_Li4SbPd5
_chemical_formula_sum 'Li4 Sb1 Pd5'
_cell_length_a 6.1055
_cell_length_b 6.1055
_cell_length_c 6.1055
_cell_angle_alpha 99.87
_cell_angle_beta 99.87
_cell_angle_gamma 131.08
_space_group_name_H-M_alt 'P 1'
_space_group_IT_number 1
loop_
_space_group_symop_operation_xyz
'x,y,z'
loop_
_atom_site_label
_atom_site_type_symbol
_atom_site_fract_x
_atom_site_fract_y
_atom_site_fract_z
Li1 Li 0.1385 0.2515 0.3900
Li2 Li 0.2515 0.8615 0.1130
Li3 Li 0.7485 0.1385 0.8870
Li4 Li 0.8615 0.7485 0.6100
Sb1 Sb 0.6860 0.6860 0.0000
Pd1 Pd 0.1686 0.5489 0.7205
Pd2 Pd 0.1972 0.1972 0.0000
Pd3 Pd 0.4480 0.1686 0.6197
Pd4 Pd 0.5489 0.8284 0.3803
Pd5 Pd 0.8284 0.4480 0.2795



(4)
# Pr2Ga3PdPt4 PBE optimized geometry
# space-group type = P-4m2
# calculated total energy = -5.708 eV/atom
# density = 11.72 g cm⁻³
# E_form = -0.91 eV per atom
data_Pr2Ga3PdPt4
_chemical_formula_sum 'Pr2 Ga3 Pd1 Pt4'
_cell_length_a 4.1276
_cell_length_b 4.1276
_cell_length_c 11.4611
_cell_angle_alpha 90.00
_cell_angle_beta 90.00
_cell_angle_gamma 90.00
_space_group_name_H-M_alt 'P 1'
_space_group_IT_number 1
loop_
_space_group_symop_operation_xyz
'x,y,z'
loop_
_atom_site_label
_atom_site_type_symbol
_atom_site_fract_x
_atom_site_fract_y
_atom_site_fract_z
Pr1 Pr 0.0000 0.5000 0.2443
Pr2 Pr 0.5000 0.0000 0.7557
Ga1 Ga 0.0000 0.0000 0.0000
Ga2 Ga 0.0000 0.5000 0.6292
Ga3 Ga 0.5000 0.0000 0.3708
Pd1 Pd 0.5000 0.5000 0.0000
Pt1 Pt 0.0000 0.0000 0.5000
Pt2 Pt 0.0000 0.5000 0.8463
Pt3 Pt 0.5000 0.0000 0.1537
Pt4 Pt 0.5000 0.5000 0.5000



(5)
# GaCuO PBE optimized geometry
# space-group type = Amm2
# calculated total energy = -4.666 eV/atom
# density = 7.04 g cm⁻³
# raw formation energy = -0.6392 eV/atom
data_GaCuO
_chemical_formula_sum 'Ga2 Cu2 O2'
_cell_length_a 9.7103
_cell_length_b 2.9384
_cell_length_c 2.9384
_cell_angle_alpha 57.14
_cell_angle_beta 90.00
_cell_angle_gamma 90.00
_space_group_name_H-M_alt 'P 1'
_space_group_IT_number 1
loop_
_space_group_symop_operation_xyz
'x,y,z'
loop_
_atom_site_label
_atom_site_type_symbol
_atom_site_fract_x
_atom_site_fract_y
_atom_site_fract_z
Ga1 Ga 0.0000 0.0000 0.0000
Ga2 Ga 0.5000 0.1259 0.1259
Cu1 Cu 0.1960 0.3275 0.3275
Cu2 Cu 0.8040 0.3275 0.3275
O1 O 0.3762 0.8042 0.8042
O2 O 0.6238 0.8042 0.8042



(6)
# Dy2AlSi4Ni3 PBE optimized geometry
# space-group type = P-4m2
# calculated total energy = -5.997 eV/atom
# density = 6.88 g cm⁻³
# raw formation energy = -0.7984 eV/atom
data_Dy2AlSi4Ni3
_chemical_formula_sum 'Dy2 Al1 Si4 Ni3'
_cell_length_a 3.9442
_cell_length_b 3.9442
_cell_length_c 9.9404
_cell_angle_alpha 90.00
_cell_angle_beta 90.00
_cell_angle_gamma 90.00
_space_group_name_H-M_alt 'P 1'
_space_group_IT_number 1
loop_
_space_group_symop_operation_xyz
'x,y,z'
loop_
_atom_site_label
_atom_site_type_symbol
_atom_site_fract_x
_atom_site_fract_y
_atom_site_fract_z
Dy1 Dy 0.0000 0.5000 0.2389
Dy2 Dy 0.5000 0.0000 0.7611
Al1 Al 0.0000 0.0000 0.5000
Si1 Si 0.0000 0.0000 0.0000
Si2 Si 0.0000 0.5000 0.6495
Si3 Si 0.5000 0.0000 0.3505
Si4 Si 0.5000 0.5000 0.0000
Ni1 Ni 0.0000 0.5000 0.8787
Ni2 Ni 0.5000 0.0000 0.1213
Ni3 Ni 0.5000 0.5000 0.5000



(7)
# Ac2TbPm4 PBE optimized geometry
# space-group type = Cmmm
# energy above the most stable polymorph in this dataset = 0 meV/atom
# calculated total energy = -4.470 eV/atom
# density = 7.57 g cm⁻³
# E_form = 0.08 eV per atom
data_Ac2TbPm4
_chemical_formula_sum 'Ac2 Tb1 Pm4'
_cell_length_a 19.1786
_cell_length_b 19.1786
_cell_length_c 3.7071
_cell_angle_alpha 90.00
_cell_angle_beta 90.00
_cell_angle_gamma 168.94
_space_group_name_H-M_alt 'P 1'
_space_group_IT_number 1
loop_
_space_group_symop_operation_xyz
'x,y,z'
loop_
_atom_site_label
_atom_site_type_symbol
_atom_site_fract_x
_atom_site_fract_y
_atom_site_fract_z
Ac1 Ac 0.2048 0.7952 0.0000
Ac2 Ac 0.7952 0.2048 0.0000
Tb1 Tb 0.5000 0.5000 0.5000
Pm1 Pm 0.0654 0.9346 0.0000
Pm2 Pm 0.3680 0.6320 0.5000
Pm3 Pm 0.6320 0.3680 0.5000
Pm4 Pm 0.9346 0.0654 0.0000



(8)
# RbTeCl3 PBE optimized geometry
# space-group type = Pm-3m
# energy above the most stable polymorph in this dataset = 974 meV/atom
# calculated total energy = -2.001 eV/atom
# density = 2.29 g cm⁻³
# raw formation energy = -0.0714 eV/atom
data_RbTeCl3
_chemical_formula_sum 'Rb1 Te1 Cl3'
_cell_length_a 6.1436
_cell_length_b 6.1436
_cell_length_c 6.1436
_cell_angle_alpha 90.00
_cell_angle_beta 90.00
_cell_angle_gamma 90.00
_space_group_name_H-M_alt 'P 1'
_space_group_IT_number 1
loop_
_space_group_symop_operation_xyz
'x,y,z'
loop_
_atom_site_label
_atom_site_type_symbol
_atom_site_fract_x
_atom_site_fract_y
_atom_site_fract_z
Rb1 Rb 0.0000 0.0000 0.0000
Te1 Te 0.5000 0.5000 0.5000
Cl1 Cl 0.0000 0.0000 0.5000
Cl2 Cl 0.0000 0.5000 0.0000
Cl3 Cl 0.5000 0.0000 0.0000



(9)
# Ho3Cd2Au3 PBE optimized geometry
# space-group type = Immm
# energy above the most stable polymorph in this dataset = 35 meV/atom
# calculated total energy = -3.810 eV/atom
# density = 11.86 g cm⁻³
# E_form = -0.64 eV per atom
data_Ho3Cd2Au3
_chemical_formula_sum 'Ho3 Cd2 Au3'
_cell_length_a 10.5443
_cell_length_b 10.5443
_cell_length_c 10.5443
_cell_angle_alpha 160.26
_cell_angle_beta 152.36
_cell_angle_gamma 34.20
_space_group_name_H-M_alt 'P 1'
_space_group_IT_number 1
loop_
_space_group_symop_operation_xyz
'x,y,z'
loop_
_atom_site_label
_atom_site_type_symbol
_atom_site_fract_x
_atom_site_fract_y
_atom_site_fract_z
Ho1 Ho 0.0000 0.0000 0.0000
Ho2 Ho 0.3734 0.8734 0.5000
Ho3 Ho 0.6266 0.1266 0.5000
Cd1 Cd 0.2379 0.2379 0.0000
Cd2 Cd 0.7621 0.7621 0.0000
Au1 Au 0.1195 0.6195 0.5000
Au2 Au 0.5000 0.5000 0.0000
Au3 Au 0.8805 0.3805 0.5000



(10)
# Ca2AlHg PBE optimized geometry
# space-group type = Fm-3m
# energy above the most stable polymorph in this dataset = 8 meV/atom
# calculated total energy = -2.372 eV/atom
# density = 4.79 g cm⁻³
# E_form = -0.36 eV per atom
data_Ca2AlHg
_chemical_formula_sum 'Ca2 Al1 Hg1'
_cell_length_a 5.3251
_cell_length_b 5.3251
_cell_length_c 5.3251
_cell_angle_alpha 60.00
_cell_angle_beta 60.00
_cell_angle_gamma 60.00
_space_group_name_H-M_alt 'P 1'
_space_group_IT_number 1
loop_
_space_group_symop_operation_xyz
'x,y,z'
loop_
_atom_site_label
_atom_site_type_symbol
_atom_site_fract_x
_atom_site_fract_y
_atom_site_fract_z
Ca1 Ca 0.2500 0.2500 0.2500
Ca2 Ca 0.7500 0.7500 0.7500
Al1 Al 0.0000 0.0000 0.0000
Hg1 Hg 0.5000 0.5000 0.5000



(11)
# Mn2CoWI PBE optimized geometry
# space-group type = P4/mmm
# calculated total energy = -6.549 eV/atom
# density = 7.38 g cm⁻³
# raw formation energy = 1.4408 eV/atom
data_Mn2CoWI
_chemical_formula_sum 'Mn2 Co1 W1 I1'
_cell_length_a 4.8271
_cell_length_b 4.8271
_cell_length_c 4.6289
_cell_angle_alpha 90.00
_cell_angle_beta 90.00
_cell_angle_gamma 90.00
_space_group_name_H-M_alt 'P 1'
_space_group_IT_number 1
loop_
_space_group_symop_operation_xyz
'x,y,z'
loop_
_atom_site_label
_atom_site_type_symbol
_atom_site_fract_x
_atom_site_fract_y
_atom_site_fract_z
Mn1 Mn 0.0000 0.5000 0.0000
Mn2 Mn 0.5000 0.0000 0.0000
Co1 Co 0.0000 0.0000 0.5000
W1 W 0.0000 0.0000 0.0000
I1 I 0.5000 0.5000 0.5000



(12)
# Mn4CrFe6 PBE optimized geometry
# space-group type = Cmc2_1
# calculated total energy = -8.592 eV/atom
# density = 7.99 g cm⁻³
# E_form = 0.23 eV per atom
data_Mn4CrFe6
_chemical_formula_sum 'Mn8 Cr2 Fe12'
_cell_length_a 7.4796
_cell_length_b 7.4796
_cell_length_c 4.9717
_cell_angle_alpha 90.00
_cell_angle_beta 90.00
_cell_angle_gamma 114.87
_space_group_name_H-M_alt 'P 1'
_space_group_IT_number 1
loop_
_space_group_symop_operation_xyz
'x,y,z'
loop_
_atom_site_label
_atom_site_type_symbol
_atom_site_fract_x
_atom_site_fract_y
_atom_site_fract_z
Mn1 Mn 0.1200 0.8800 0.5000
Mn2 Mn 0.1558 0.3217 0.7341
Mn3 Mn 0.2956 0.7044 0.2410
Mn4 Mn 0.3217 0.1558 0.2341
Mn5 Mn 0.6783 0.8442 0.7341
Mn6 Mn 0.7044 0.2956 0.7410
Mn7 Mn 0.8442 0.6783 0.2341
Mn8 Mn 0.8800 0.1200 0.0000
Cr1 Cr 0.3166 0.6834 0.7356
Cr2 Cr 0.6834 0.3166 0.2356
Fe1 Fe 0.0028 0.5003 0.9892
Fe2 Fe 0.1318 0.8682 0.9657
Fe3 Fe 0.1807 0.3623 0.2436
Fe4 Fe 0.3623 0.1807 0.7436
Fe5 Fe 0.4985 0.5015 0.9878
Fe6 Fe 0.5003 0.0028 0.4892
Fe7 Fe 0.4997 0.9972 0.9892
Fe8 Fe 0.5015 0.4985 0.4878
Fe9 Fe 0.6377 0.8193 0.2436
Fe10 Fe 0.8193 0.6377 0.7436
Fe11 Fe 0.8682 0.1318 0.4657
Fe12 Fe 0.9972 0.4997 0.4892